Entry 1:
! PuTlSbF6 | Alexandria via LeMat-Bulk | PBE | relaxed; values from VASP
&SYSTEM
  ibrav = 0, nat = 9, ntyp = 4
/
ATOMIC_SPECIES
Pu 244.00 Pu.upf
Tl 204.38 Tl.upf
Sb 121.76 Sb.upf
F 19.00 F.upf
CELL_PARAMETERS angstrom
-3.3960 -3.6453 -4.2153
-4.5334 -4.3782 1.6019
-4.4779 3.6579 -0.5190
ATOMIC_POSITIONS crystal
Pu 0.6690 0.6329 0.5115
Tl 0.0180 0.9875 0.9843
Sb 0.3734 0.3339 0.4294
F 0.8976 0.2887 0.3195
F 0.3692 0.0527 0.6480
F 0.6323 0.4766 0.8460
F 0.0351 0.5655 0.6433
F 0.3239 0.7259 0.3439
F 0.6812 0.9364 0.2741
! Final energy: -6.078 eV per atom
! Energy relative to the elements, uncorrected: -2.52 eV per atom
! N(E_F): 5.6 states/eV/f.u.
! Calculated volume: 22.161 Å³/atom



Entry 2:
! HfAlAg | Alexandria via LeMat-Bulk | PBE | relaxed; values from VASP
&SYSTEM
  ibrav = 0, nat = 6, ntyp = 3
/
ATOMIC_SPECIES
Hf 178.49 Hf.upf
Al 26.98 Al.upf
Ag 107.87 Ag.upf
CELL_PARAMETERS angstrom
-2.9130 -3.1374 3.1930
-3.9950 -2.8645 -2.0878
4.3979 -2.4891 1.7285
ATOMIC_POSITIONS crystal
Hf 0.9916 0.5541 0.4029
Hf 0.7534 0.0540 0.1411
Al 0.3726 0.8038 0.7717
Al 0.8725 0.3036 0.7716
Ag 0.3720 0.3043 0.7723
Ag 0.3728 0.8041 0.2718
! ΔH_f (0 K): -0.193 eV/atom
! Final energy: -5.708 eV per atom
! N(E_F): 2.3 states/eV/f.u.
! Calculated volume: 18.114 Å³/atom



Entry 3:
! Ti2VW | Alexandria via LeMat-Bulk | PBE | relaxed; values from VASP
&SYSTEM
  ibrav = 0, nat = 4, ntyp = 3
/
ATOMIC_SPECIES
Ti 47.87 Ti.upf
V 50.94 V.upf
W 183.84 W.upf
CELL_PARAMETERS angstrom
5.2013 0.2269 0.0000
0.3649 2.7182 0.0000
0.0000 0.0000 4.4611
ATOMIC_POSITIONS crystal
Ti 0.9994 0.0196 0.0000
Ti 0.5006 0.4804 0.0000
V 0.7500 0.7500 0.5000
W 0.2500 0.2500 0.5000
! ΔH_f (0 K): 0.042 eV/atom
! Final energy: -9.424 eV per atom
! ΔE to the lowest computed polymorph: 0 meV/atom
! N(E_F): 6.8 states/eV/f.u.
! Calculated volume: 15.675 Å³/atom



Entry 4:
! PmNdAlIn | Alexandria via LeMat-Bulk | PBE | relaxed; values from VASP
&SYSTEM
  ibrav = 0, nat = 4, ntyp = 4
/
ATOMIC_SPECIES
In 114.82 In.upf
Nd 144.24 Nd.upf
Al 26.98 Al.upf
Pm 145.00 Pm.upf
CELL_PARAMETERS angstrom
5.3651 0.0000 0.0000
2.6826 4.6463 0.0000
2.6826 1.5488 4.3806
ATOMIC_POSITIONS crystal
In 0.7500 0.7500 0.7500
Nd 0.5000 0.5000 0.5000
Al 0.2500 0.2500 0.2500
Pm 0.0000 0.0000 0.0000
! ΔH_f (0 K): -0.414 eV/atom
! Final energy: -4.414 eV per atom
! ΔE to the lowest computed polymorph: 8 meV/atom
! N(E_F): 1.4 states/eV/f.u.
! Calculated volume: 27.300 Å³/atom



Entry 5:
! LiThCdPt | Alexandria via LeMat-Bulk | PBE | relaxed; values from VASP
&SYSTEM
  ibrav = 0, nat = 4, ntyp = 4
/
ATOMIC_SPECIES
Li 6.94 Li.upf
Pt 195.08 Pt.upf
Th 232.04 Th.upf
Cd 112.41 Cd.upf
CELL_PARAMETERS angstrom
4.8970 0.0000 0.0000
2.4485 4.2409 0.0000
2.4485 1.4136 3.9984
ATOMIC_POSITIONS crystal
Li 0.2500 0.2500 0.2500
Pt 0.7500 0.7500 0.7500
Th 0.0000 0.0000 0.0000
Cd 0.5000 0.5000 0.5000
! ΔH_f (0 K): -0.557 eV/atom
! Final energy: -4.629 eV per atom
! N(E_F): 4.8 states/eV/f.u.
! Calculated volume: 20.759 Å³/atom



Entry 6:
! Ce4ScSb5 | Alexandria via LeMat-Bulk | PBE | relaxed; values from VASP
&SYSTEM
  ibrav = 0, nat = 10, ntyp = 3
/
ATOMIC_SPECIES
Ce 140.12 Ce.upf
Sc 44.96 Sc.upf
Sb 121.76 Sb.upf
CELL_PARAMETERS angstrom
-4.4084 0.5763 0.2153
-0.3283 -0.8860 -4.3497
0.5416 -15.0253 5.2970
ATOMIC_POSITIONS crystal
Ce 0.4014 0.4014 0.8029
Ce 0.8018 0.8018 0.6037
Ce 0.1982 0.1982 0.3963
Ce 0.5986 0.5986 0.1971
Sc 0.0000 0.0000 0.0000
Sb 0.0954 0.0954 0.1908
Sb 0.5000 0.5000 0.0000
Sb 0.9046 0.9046 0.8092
Sb 0.3000 0.3000 0.6000
Sb 0.7000 0.7000 0.4000
! Final energy: -6.059 eV per atom
! Energy relative to the elements, uncorrected: -0.99 eV per atom
! N(E_F): 24.1 states/eV/f.u.
! Calculated volume: 30.962 Å³/atom



What did the fifth record say?
! LiThCdPt | Alexandria via LeMat-Bulk | PBE | relaxed; values from VASP
&SYSTEM
  ibrav = 0, nat = 4, ntyp = 4
/
ATOMIC_SPECIES
Li 6.94 Li.upf
Pt 195.08 Pt.upf
Th 232.04 Th.upf
Cd 112.41 Cd.upf
CELL_PARAMETERS angstrom
4.8970 0.0000 0.0000
2.4485 4.2409 0.0000
2.4485 1.4136 3.9984
ATOMIC_POSITIONS crystal
Li 0.2500 0.2500 0.2500
Pt 0.7500 0.7500 0.7500
Th 0.0000 0.0000 0.0000
Cd 0.5000 0.5000 0.5000
! ΔH_f (0 K): -0.557 eV/atom
! Final energy: -4.629 eV per atom
! N(E_F): 4.8 states/eV/f.u.
! Calculated volume: 20.759 Å³/atom